No. 1
This record from the Alexandria database describes a geometry-optimized KCo3N structure. The functional is PBEsol. Values from VASP.

Geometry as Quantum ESPRESSO input:
```
&SYSTEM
  ibrav = 0, nat = 5, ntyp = 3
/
ATOMIC_SPECIES
K 39.10 K.upf
N 14.01 N.upf
Co 58.93 Co.upf
ATOMIC_POSITIONS crystal
K 0.0000 0.0000 0.0000
N 0.5000 0.5000 0.5000
Co 0.5000 0.0000 0.0000
Co 0.0000 0.5000 0.0000
Co 0.0000 0.0000 0.5000
CELL_PARAMETERS angstrom
4.2259 0.0000 0.0000
0.0000 4.2259 0.0000
0.0000 0.0000 4.2259
```

Properties
Calculated total energy = -3.1246 eV/atom
Magnetization = 5.274 μB/cell
Formation energy from raw total energies = 17.25 eV/f.u.

No. 2
This record from the Alexandria database describes a geometry-optimized AlRhCl2 structure. The functional is PBEsol. Values from VASP.

Geometry as Quantum ESPRESSO input:
```
&SYSTEM
  ibrav = 0, nat = 4, ntyp = 3
/
ATOMIC_SPECIES
Rh 102.91 Rh.upf
Cl 35.45 Cl.upf
Al 26.98 Al.upf
ATOMIC_POSITIONS crystal
Rh 0.5000 0.5000 0.0000
Cl 0.0000 0.0000 0.0000
Cl 0.7500 0.2500 0.5000
Al 0.2500 0.7500 0.5000
CELL_PARAMETERS angstrom
4.1100 0.0000 0.0000
0.0000 4.1100 0.0000
-2.0550 -2.0550 3.7821
```

Properties
Calculated total energy = -3.9157 eV/atom
ΔE to the lowest computed polymorph = 534 meV per atom
Magnetization = 0.002 μB/cell
Formation energy from raw total energies = 0.58 eV/f.u.